VASP calculation (GGA-PBE) on a relaxed structure of YErZrIn.

Lattice parameters (Å, degrees): 5.326 5.326 5.326 60.00 60.00 60.00
Atoms (fractional coordinates):
1 Y 0.000 0.000 0.000
2 Er 0.500 0.500 0.500
3 Zr 0.750 0.750 0.750
4 In 0.250 0.250 0.250

Calculated values
Density of states at the Fermi level = 2.80 states/eV per cell
Energy relative to the elements = -0.3 eV/f.u.
Total magnetization = 2.69 μB/f.u.
ρ = 7.19 g cm⁻³
Space-group type = F-43m

VASP calculation (GGA-PBE) on a relaxed structure of La5Ir2Au2.

Lattice parameters (Å, degrees): 8.739 8.739 8.024 90.00 90.00 53.98
Atoms (fractional coordinates):
1 La 0.000 0.000 0.000
2 La 0.044 0.703 0.669
3 La 0.203 0.544 0.169
4 La 0.297 0.956 0.669
5 La 0.456 0.797 0.169
6 La 0.500 0.500 0.500
7 La 0.544 0.203 0.831
8 La 0.703 0.044 0.331
9 La 0.797 0.456 0.831
10 La 0.956 0.297 0.331
11 Ir 0.133 0.867 0.368
12 Ir 0.367 0.633 0.868
13 Ir 0.633 0.367 0.132
14 Ir 0.867 0.133 0.632
15 Au 0.208 0.208 0.000
16 Au 0.292 0.292 0.500
17 Au 0.708 0.708 0.500
18 Au 0.792 0.792 0.000

Calculated values
Density of states at the Fermi level = 17.54 states/eV per cell
Energy relative to the elements = -6.7 eV/f.u.
Total magnetization = 0.00 μB/f.u.
ρ = 9.87 g cm⁻³
Space-group type = Cmce

VASP calculation (GGA-PBE) on a relaxed structure of CdCl5.

Lattice parameters (Å, degrees): 3.876 5.366 9.113 90.00 99.71 90.00
Atoms (fractional coordinates):
1 Cd 0.000 0.000 0.000
2 Cl 0.000 0.500 0.997
3 Cl 0.418 0.000 0.800
4 Cl 0.481 0.500 0.607
5 Cl 0.507 0.500 0.393
6 Cl 0.582 0.000 0.199

Calculated values
Density of states at the Fermi level = 6.09 states/eV per cell
Total magnetization = 1.02 μB/f.u.
ρ = 2.57 g cm⁻³
Raw formation energy = -0.36 eV per atom
Space-group type = Pm

VASP calculation (GGA-PBE) on a relaxed structure of TmFe4Pd.

Lattice parameters (Å, degrees): 4.970 4.970 4.970 60.00 60.00 60.00
Atoms (fractional coordinates):
1 Tm 0.000 0.000 0.000
2 Fe 0.125 0.625 0.625
3 Fe 0.625 0.125 0.625
4 Fe 0.625 0.625 0.125
5 Fe 0.625 0.625 0.625
6 Pd 0.250 0.250 0.250

Calculated values
Density of states at the Fermi level = 6.02 states/eV per cell
Energy relative to the elements = -0.8 eV/f.u.
Total magnetization = 9.83 μB/f.u.
ρ = 9.54 g cm⁻³
Space-group type = F-43m

VASP calculation (GGA-PBE) on a relaxed structure of Li3Nd3Ga8.

Lattice parameters (Å, degrees): 8.499 8.499 8.499 150.32 110.56 77.29
Atoms (fractional coordinates):
1 Li 0.000 0.000 0.000
2 Li 0.201 0.500 0.701
3 Li 0.799 0.500 0.299
4 Nd 0.200 0.700 0.500
5 Nd 0.500 0.000 0.500
6 Nd 0.800 0.300 0.500
7 Ga 0.077 0.858 0.218
8 Ga 0.209 0.344 0.865
9 Ga 0.360 0.142 0.218
10 Ga 0.479 0.344 0.135
11 Ga 0.521 0.656 0.865
12 Ga 0.640 0.858 0.782
13 Ga 0.791 0.656 0.135
14 Ga 0.923 0.142 0.782

Calculated values
Density of states at the Fermi level = 3.44 states/eV per cell
Energy relative to the elements = -7.4 eV/f.u.
Total magnetization = 0.00 μB/f.u.
ρ = 6.00 g cm⁻³
Space-group type = Immm

VASP calculation (GGA-PBE) on a relaxed structure of Mg5Ir3.

Lattice parameters (Å, degrees): 7.793 7.793 5.252 90.00 90.00 120.00
Atoms (fractional coordinates):
1 Mg 0.000 0.252 0.250
2 Mg 0.000 0.748 0.750
3 Mg 0.252 0.000 0.250
4 Mg 0.252 0.252 0.750
5 Mg 0.333 0.667 0.000
6 Mg 0.333 0.667 0.500
7 Mg 0.667 0.333 0.000
8 Mg 0.667 0.333 0.500
9 Mg 0.748 0.000 0.750
10 Mg 0.748 0.748 0.250
11 Ir 0.000 0.401 0.750
12 Ir 0.000 0.599 0.250
13 Ir 0.401 0.000 0.750
14 Ir 0.401 0.401 0.250
15 Ir 0.599 0.000 0.250
16 Ir 0.599 0.599 0.750

Calculated values
Density of states at the Fermi level = 7.85 states/eV per cell
Energy relative to the elements = -1.9 eV/f.u.
Total magnetization = 0.00 μB/f.u.
ρ = 8.39 g cm⁻³
Space-group type = P6_3/mcm

VASP calculation (GGA-PBE) on a relaxed structure of NpOsO3.

Lattice parameters (Å, degrees): 3.981 3.981 3.981 90.00 90.00 90.00
Atoms (fractional coordinates):
1 Np 0.000 0.000 0.000
2 Os 0.500 0.500 0.500
3 O 0.000 0.500 0.500
4 O 0.500 0.000 0.500
5 O 0.500 0.500 0.000

Calculated values
Density of states at the Fermi level = 10.60 states/eV per cell
Total magnetization = 3.45 μB/f.u.
ρ = 12.51 g cm⁻³
Raw formation energy = -1.19 eV per atom
Space-group type = Pm-3m

VASP calculation (GGA-PBE) on a relaxed structure of SrTa2Hg.

Lattice parameters (Å, degrees): 3.043 3.043 10.025 90.00 90.00 103.49
Atoms (fractional coordinates):
1 Sr 0.000 0.000 0.000
2 Ta 0.000 0.000 0.505
3 Ta 0.500 0.500 0.710
4 Hg 0.500 0.500 0.270

Calculated values
Density of states at the Fermi level = 4.20 states/eV per cell
Energy relative to the elements = 1.8 eV/f.u.
Total magnetization = 0.00 μB/f.u.
ρ = 11.96 g cm⁻³
Space-group type = Cmm2

VASP calculation (GGA-PBE) on a relaxed structure of ScTa2Nb2.

Lattice parameters (Å, degrees): 7.682 7.682 3.406 90.00 90.00 90.00
Atoms (fractional coordinates):
1 Sc 0.000 0.000 0.000
2 Sc 0.500 0.500 0.000
3 Ta 0.138 0.362 0.000
4 Ta 0.362 0.862 0.000
5 Ta 0.638 0.138 0.000
6 Ta 0.862 0.638 0.000
7 Nb 0.152 0.652 0.500
8 Nb 0.348 0.152 0.500
9 Nb 0.652 0.848 0.500
10 Nb 0.848 0.348 0.500

Calculated values
Density of states at the Fermi level = 6.13 states/eV per cell
Energy relative to the elements = 1.4 eV/f.u.
Total magnetization = 0.00 μB/f.u.
ρ = 9.79 g cm⁻³
Space-group type = P4/mbm

VASP calculation (GGA-PBE) on a relaxed structure of Pt2RhO.

Lattice parameters (Å, degrees): 5.348 5.348 5.348 103.32 103.32 122.62
Atoms (fractional coordinates):
1 Pt 0.078 0.625 0.953
2 Pt 0.375 0.328 0.453
3 Pt 0.672 0.125 0.047
4 Pt 0.875 0.922 0.547
5 Rh 0.250 0.750 0.500
6 Rh 0.500 0.500 0.000
7 O 0.000 0.000 0.000
8 O 0.750 0.250 0.500

Calculated values
Density of states at the Fermi level = 13.04 states/eV per cell
Total magnetization = 0.00 μB/f.u.
ρ = 14.96 g cm⁻³
Raw formation energy = 0.43 eV per atom
Space-group type = I-42d

VASP calculation (GGA-PBE) on a relaxed structure of GdPaCuRe.

Lattice parameters (Å, degrees): 4.895 4.895 4.895 60.00 60.00 60.00
Atoms (fractional coordinates):
1 Gd 0.000 0.000 0.000
2 Pa 0.500 0.500 0.500
3 Cu 0.750 0.750 0.750
4 Re 0.250 0.250 0.250

Calculated values
Density of states at the Fermi level = 5.77 states/eV per cell
Energy relative to the elements = 0.2 eV/f.u.
Total magnetization = 6.81 μB/f.u.
ρ = 12.77 g cm⁻³
Space-group type = F-43m

VASP calculation (GGA-PBE) on a relaxed structure of CoCuBi2.

Lattice parameters (Å, degrees): 4.825 4.825 4.825 60.00 60.00 60.00
Atoms (fractional coordinates):
1 Co 0.000 0.000 0.000
2 Cu 0.500 0.500 0.500
3 Bi 0.250 0.250 0.250
4 Bi 0.750 0.750 0.750

Calculated values
Density of states at the Fermi level = 2.09 states/eV per cell
Energy relative to the elements = 1.7 eV/f.u.
Total magnetization = 0.00 μB/f.u.
ρ = 11.30 g cm⁻³
Space-group type = Fm-3m

no.,final energy (eV for the cell shown)
1,-22.65
2,-111.21
3,-12.29
4,-44.29
5,-51.63
6,-72.94
7,-44.99
8,-23.93
9,-97.57
10,-45.37
11,-39.87
12,-17.25